Entry from Alexandria: a relaxed As2Ru2Au crystal (PBE).

abc: 7.2710 7.2710 2.9922
angles: 90.00 90.00 90.00
Element x y z (fractional)
As1 0.1491 0.3509 0.0000
As2 0.3509 0.8509 0.0000
As3 0.6491 0.1491 0.0000
As4 0.8509 0.6491 0.0000
Ru1 0.1428 0.6428 0.5000
Ru2 0.3572 0.1428 0.5000
Ru3 0.6428 0.8572 0.5000
Ru4 0.8572 0.3572 0.5000
Au1 0.0000 0.0000 0.5000
Au2 0.5000 0.5000 0.5000

Energy above the most stable polymorph in this dataset, meV per atom: 0
Formation energy, kJ per mole of atoms: 0.2